DFT (GGA-PBE) results for NdDy6Ho2Sc after structural relaxation.

## Properties
Volume = 314 Å³/f.u.
Crystal system = monoclinic
ΔH_f (0 K) = 128 meV/atom

abc: 9.1097 14.8657 9.3224
angles: 90.00 96.08 90.00
Space group C2/c (No. 15)
Unique sites:
Nd  0.0000  0.0261  0.2500 [4 per cell]
Dy  0.0588  0.1846  0.9444 [8 per cell]
Dy  0.0981  0.3894  0.1133 [8 per cell]
Dy  0.2196  0.2213  0.3109 [8 per cell]
Ho  0.2436  0.4480  0.4497 [8 per cell]
Sc  0.0000  0.4156  0.7500 [4 per cell]